First-principles (PBE) data for crystalline CsCdHgIr2 at its relaxed geometry, as listed in Alexandria.

Geometry as POSCAR:
```
CsCdHgIr2
1.0
5.1777 0.0000 0.0000
0.0000 5.1777 0.0000
0.0000 0.0000 6.4241
Cs Cd Hg Ir
1 1 1 2
direct
0.0000 0.0000 0.0000
0.5000 0.5000 0.0000
0.0000 0.0000 0.5000
0.0000 0.5000 0.5000
0.5000 0.0000 0.5000
```

Energy relative to the elements   1.546 eV per atom
D(E_F)   5.75 states/eV/cell